(1)
This record from Alexandria describes a relaxed ScPbBr2 crystal. The functional is PBE.

Results
**Total magnetization**: 0.65 μB/f.u.
**Total DFT energy (no corrections)**: -3.72 eV/atom
**Energy relative to the elements, uncorrected**: -372 meV per atom
**SG**: Fm-3m (225)

```
ScPbBr2
1.0
7.4400 0.0000 0.0000
0.0000 7.4400 0.0000
0.0000 0.0000 7.4400
Sc Pb Br
4 4 8
Cartesian
0.0000 0.0000 0.0000 Sc
0.0000 3.7200 3.7200 Sc
3.7200 0.0000 3.7200 Sc
3.7200 3.7200 0.0000 Sc
0.0000 0.0000 3.7200 Pb
0.0000 3.7200 0.0000 Pb
3.7200 0.0000 0.0000 Pb
3.7200 3.7200 3.7200 Pb
1.8600 1.8600 1.8600 Br
1.8600 1.8600 5.5800 Br
1.8600 5.5800 1.8600 Br
1.8600 5.5800 5.5800 Br
5.5800 1.8600 1.8600 Br
5.5800 1.8600 5.5800 Br
5.5800 5.5800 1.8600 Br
5.5800 5.5800 5.5800 Br
```

---

(2)
This record from Alexandria describes a relaxed Er4Th3 crystal. The functional is PBE.

Results
**ΔH_f (0 K)**: 30 meV per atom
**Total magnetization**: 0.00 μB/f.u.
**Total DFT energy (no corrections)**: -5.76 eV/atom
**SG**: C2/m (12)

```
Er4Th3
1.0
11.2667 0.0000 0.0000
0.0000 5.0139 0.0000
-1.1275 0.0000 7.7957
Er Th
8 6
Cartesian
0.5770 0.0000 1.7016 Er
0.5751 2.5069 7.2169 Er
3.9308 0.0000 0.5788 Er
3.9288 2.5069 6.0941 Er
6.2104 2.5069 1.7016 Er
6.2084 0.0000 7.2169 Er
9.5642 2.5069 0.5788 Er
9.5622 0.0000 6.0941 Er
-0.5638 2.5069 3.8978 Th
1.6790 0.0000 4.9801 Th
2.8269 2.5069 2.8156 Th
5.0696 0.0000 3.8978 Th
7.3123 2.5069 4.9801 Th
8.4602 0.0000 2.8156 Th
```

---

Repeat the first record exactly.
This record from Alexandria describes a relaxed ScPbBr2 crystal. The functional is PBE.

Results
**Total magnetization**: 0.65 μB/f.u.
**Total DFT energy (no corrections)**: -3.72 eV/atom
**Energy relative to the elements, uncorrected**: -372 meV per atom
**SG**: Fm-3m (225)

```
ScPbBr2
1.0
7.4400 0.0000 0.0000
0.0000 7.4400 0.0000
0.0000 0.0000 7.4400
Sc Pb Br
4 4 8
Cartesian
0.0000 0.0000 0.0000 Sc
0.0000 3.7200 3.7200 Sc
3.7200 0.0000 3.7200 Sc
3.7200 3.7200 0.0000 Sc
0.0000 0.0000 3.7200 Pb
0.0000 3.7200 0.0000 Pb
3.7200 0.0000 0.0000 Pb
3.7200 3.7200 3.7200 Pb
1.8600 1.8600 1.8600 Br
1.8600 1.8600 5.5800 Br
1.8600 5.5800 1.8600 Br
1.8600 5.5800 5.5800 Br
5.5800 1.8600 1.8600 Br
5.5800 1.8600 5.5800 Br
5.5800 5.5800 1.8600 Br
5.5800 5.5800 5.5800 Br
```

---

Question: Number 2 is which compound?
Answer: Er4Th3